(1)
A plane-wave DFT calculation with PBE-GGA was carried out for crystalline BaErAgTeSe2 at its relaxed geometry.

```
BaErAgTeSe2
1.0
2.1249 -7.4933 0.0000
2.1249 7.4933 0.0000
0.0000 0.0000 11.0520
Ba Er Ag Te Se
2 2 2 2 4
Direct
0.2268 0.7732 0.7500 Ba
0.7732 0.2268 0.2500 Ba
0.0000 0.0000 0.0000 Er
0.0000 0.0000 0.5000 Er
0.4734 0.5266 0.2500 Ag
0.5266 0.4734 0.7500 Ag
0.0921 0.9079 0.2500 Te
0.9079 0.0921 0.7500 Te
0.3727 0.6273 0.0538 Se
0.3727 0.6273 0.4462 Se
0.6273 0.3727 0.5538 Se
0.6273 0.3727 0.9462 Se
```

## Properties
E = -0.1707 hartree per atom

(2)
A plane-wave DFT calculation with PBE-GGA was carried out for crystalline BaErAgTe3 at its relaxed geometry.

```
BaErAgTe3
1.0
8.6227 0.0000 0.0000
0.0000 4.4862 0.0000
-3.1463 0.0000 10.3408
Ba Er Ag Te
2 2 2 6
Direct
0.2471 0.2500 0.2915 Ba
0.7529 0.7500 0.7085 Ba
0.3070 0.7500 0.8417 Er
0.6930 0.2500 0.1583 Er
0.0801 0.2500 0.5945 Ag
0.9199 0.7500 0.4055 Ag
0.0693 0.2500 0.8540 Te
0.2713 0.7500 0.5506 Te
0.4400 0.7500 0.1381 Te
0.5600 0.2500 0.8619 Te
0.7287 0.2500 0.4494 Te
0.9307 0.7500 0.1460 Te
```

## Properties
E = -0.1603 hartree per atom

(3)
A plane-wave DFT calculation with PBE-GGA was carried out for crystalline BaAgF4 at its relaxed geometry.

```
BaAgF4
1.0
-2.9882 2.9882 5.6849
2.9882 -2.9882 5.6849
2.9882 2.9882 -5.6849
Ba Ag F
2 2 8
Direct
0.2500 0.2500 0.0000 Ba
0.7500 0.7500 0.0000 Ba
0.0000 0.5000 0.5000 Ag
0.5000 0.0000 0.5000 Ag
0.0602 0.5602 0.8684 F
0.1918 0.0602 0.5000 F
0.3082 0.8082 0.8684 F
0.4398 0.3082 0.5000 F
0.5602 0.6918 0.5000 F
0.6918 0.1918 0.1316 F
0.8082 0.9398 0.5000 F
0.9398 0.4398 0.1316 F
```

## Properties
Distance to the lowest polymorph of the same formula = 0.000 eV/atom

(4)
A plane-wave DFT calculation with PBE-GGA was carried out for crystalline BaAg7F12 at its relaxed geometry.

```
BaAg7F12
1.0
-4.2189 4.2189 4.2189
4.2189 -4.2189 4.2189
4.2189 4.2189 -4.2189
Ba Ag F
1 7 12
Direct
0.0000 0.0000 0.0000 Ba
0.0000 0.0000 0.5000 Ag
0.0000 0.5000 0.0000 Ag
0.0000 0.5000 0.5000 Ag
0.5000 0.0000 0.0000 Ag
0.5000 0.0000 0.5000 Ag
0.5000 0.5000 0.0000 Ag
0.5000 0.5000 0.5000 Ag
0.1194 0.8293 0.2901 F
0.1707 0.2901 0.4608 F
0.1707 0.7099 0.8806 F
0.2901 0.1194 0.8293 F
0.2901 0.4608 0.1707 F
0.4608 0.1707 0.2901 F
0.5392 0.8293 0.7099 F
0.7099 0.5392 0.8293 F
0.7099 0.8806 0.1707 F
0.8293 0.2901 0.1194 F
0.8293 0.7099 0.5392 F
0.8806 0.1707 0.7099 F
```

## Properties
E = -0.1355 hartree per atom

(5)
A plane-wave DFT calculation with PBE-GGA was carried out for crystalline BaAgF4 at its relaxed geometry.

```
BaAgF4
1.0
4.1723 0.0000 0.0000
0.0000 4.1723 0.0000
0.0000 0.0000 10.2160
Ba Ag F
2 2 8
Direct
0.2500 0.2500 0.1485 Ba
0.7500 0.7500 0.8515 Ba
0.2500 0.2500 0.6023 Ag
0.7500 0.7500 0.3977 Ag
0.2500 0.2500 0.8206 F
0.2500 0.7500 0.0000 F
0.2500 0.7500 0.3705 F
0.2500 0.7500 0.6295 F
0.7500 0.2500 0.0000 F
0.7500 0.2500 0.3705 F
0.7500 0.2500 0.6295 F
0.7500 0.7500 0.1794 F
```

## Properties
Distance to the lowest polymorph of the same formula = 0.073 eV/atom

(6)
A plane-wave DFT calculation with PBE-GGA was carried out for crystalline Ba2Ag2TeSeF2 at its relaxed geometry.

```
Ba2Ag2TeSeF2
1.0
4.4348 0.0000 0.0000
0.0000 4.4348 0.0000
0.0000 0.0000 9.4738
Ba Ag Te Se F
2 2 1 1 2
Direct
0.0000 0.0000 0.0000 Ba
0.5000 0.5000 0.3115 Ba
0.0000 0.5000 0.6359 Ag
0.5000 0.0000 0.6359 Ag
0.5000 0.5000 0.8271 Te
0.0000 0.0000 0.4566 Se
0.0000 0.5000 0.1532 F
0.5000 0.0000 0.1532 F
```

## Properties
E = -0.1647 hartree per atom

(7)
A plane-wave DFT calculation with PBE-GGA was carried out for crystalline BaSrAg2Te2F2 at its relaxed geometry.

```
BaSrAg2Te2F2
1.0
4.4619 0.0000 0.0000
0.0000 4.4619 0.0000
0.0000 0.0000 9.5615
Ba Sr Ag Te F
1 1 2 2 2
Direct
0.0000 0.0000 0.0000 Ba
0.5000 0.5000 0.7132 Sr
0.0000 0.5000 0.3584 Ag
0.5000 0.0000 0.3584 Ag
0.0000 0.0000 0.5497 Te
0.5000 0.5000 0.1644 Te
0.0000 0.5000 0.8421 F
0.5000 0.0000 0.8421 F
```

## Properties
E = -0.1605 hartree per atom

(8)
A plane-wave DFT calculation with PBE-GGA was carried out for crystalline BaFeAgSb2 at its relaxed geometry.

```
BaFeAgSb2
1.0
2.2175 -9.0949 0.0000
2.2175 9.0949 0.0000
0.0000 0.0000 6.8252
Ba Fe Ag Sb
2 2 2 4
Direct
0.1975 0.8025 0.5000 Ba
0.8025 0.1975 0.0000 Ba
0.4169 0.5831 0.3847 Fe
0.5831 0.4169 0.8847 Fe
0.0164 0.9836 0.2230 Ag
0.9836 0.0164 0.7230 Ag
0.1507 0.8493 0.9937 Sb
0.4488 0.5512 0.0080 Sb
0.5512 0.4488 0.5080 Sb
0.8493 0.1507 0.4937 Sb
```

## Properties
E = -0.1636 hartree per atom

(9)
A plane-wave DFT calculation with PBE-GGA was carried out for crystalline Ba2GaAg at its relaxed geometry.

```
Ba2GaAg
1.0
0.0000 3.9268 3.9268
3.9268 0.0000 3.9268
3.9268 3.9268 0.0000
Ba Ga Ag
2 1 1
Direct
0.0000 0.0000 0.0000 Ba
0.2500 0.2500 0.2500 Ba
0.5000 0.5000 0.5000 Ga
0.7500 0.7500 0.7500 Ag
```

## Properties
E = -0.0936 hartree per atom

(10)
A plane-wave DFT calculation with PBE-GGA was carried out for crystalline BaGaAg2Ge at its relaxed geometry.

```
BaGaAg2Ge
1.0
4.6707 0.0000 0.0000
0.0000 4.6707 0.0000
0.0000 0.0000 10.9549
Ba Ga Ag Ge
2 2 4 2
Direct
0.2500 0.2500 0.2453 Ba
0.7500 0.7500 0.7547 Ba
0.2500 0.7500 0.5000 Ga
0.7500 0.2500 0.5000 Ga
0.2500 0.2500 0.6266 Ag
0.2500 0.7500 0.0000 Ag
0.7500 0.2500 0.0000 Ag
0.7500 0.7500 0.3734 Ag
0.2500 0.2500 0.8710 Ge
0.7500 0.7500 0.1290 Ge
```

## Properties
E = -0.1229 hartree per atom

(11)
A plane-wave DFT calculation with PBE-GGA was carried out for crystalline BaGa2AgPd at its relaxed geometry.

```
BaGa2AgPd
1.0
4.6325 0.0000 0.0000
0.0000 4.6325 0.0000
0.0000 0.0000 10.7773
Ba Ga Ag Pd
2 4 2 2
Direct
0.2500 0.2500 0.2422 Ba
0.7500 0.7500 0.7578 Ba
0.2500 0.2500 0.8950 Ga
0.2500 0.7500 0.5000 Ga
0.7500 0.2500 0.5000 Ga
0.7500 0.7500 0.1050 Ga
0.2500 0.2500 0.6345 Ag
0.7500 0.7500 0.3655 Ag
0.2500 0.7500 0.0000 Pd
0.7500 0.2500 0.0000 Pd
```

## Properties
E = -0.1352 hartree per atom

(12)
A plane-wave DFT calculation with PBE-GGA was carried out for crystalline BaGaAg2Sn at its relaxed geometry.

```
BaGaAg2Sn
1.0
4.8427 0.0000 0.0000
0.0000 4.8427 0.0000
0.0000 0.0000 11.0532
Ba Ga Ag Sn
2 2 4 2
Direct
0.2500 0.2500 0.2403 Ba
0.7500 0.7500 0.7597 Ba
0.2500 0.2500 0.8922 Ga
0.7500 0.7500 0.1078 Ga
0.2500 0.2500 0.6486 Ag
0.2500 0.7500 0.0000 Ag
0.7500 0.2500 0.0000 Ag
0.7500 0.7500 0.3514 Ag
0.2500 0.7500 0.5000 Sn
0.7500 0.2500 0.5000 Sn
```

## Properties
E = -0.1198 hartree per atom

(13)
A plane-wave DFT calculation with PBE-GGA was carried out for crystalline BaGdAg at its relaxed geometry.

```
BaGdAg
1.0
0.0000 3.8208 3.8208
3.8208 0.0000 3.8208
3.8208 3.8208 0.0000
Ba Gd Ag
1 1 1
Direct
0.0000 0.0000 0.0000 Ba
0.5000 0.5000 0.5000 Gd
0.2500 0.2500 0.2500 Ag
```

## Properties
Distance to the lowest polymorph of the same formula = 0.000 eV/atom

(14)
A plane-wave DFT calculation with PBE-GGA was carried out for crystalline BaGdAgS3 at its relaxed geometry.

```
BaGdAgS3
1.0
7.9719 0.0000 0.0000
0.0000 4.1397 0.0000
-2.8818 0.0000 9.3319
Ba Gd Ag S
2 2 2 6
Direct
0.2486 0.2500 0.2151 Ba
0.7514 0.7500 0.7849 Ba
0.1935 0.7500 0.6517 Gd
0.8065 0.2500 0.3483 Gd
0.4046 0.2500 0.9057 Ag
0.5954 0.7500 0.0943 Ag
0.0510 0.7500 0.3594 S
0.2281 0.7500 0.9500 S
0.4283 0.2500 0.6520 S
0.5717 0.7500 0.3480 S
0.7719 0.2500 0.0500 S
0.9490 0.2500 0.6406 S
```

## Properties
E = -0.1928 hartree per atom

(15)
A plane-wave DFT calculation with PBE-GGA was carried out for crystalline BaGdAgSe2S at its relaxed geometry.

```
BaGdAgSe2S
1.0
2.1279 -7.0930 0.0000
2.1279 7.0930 0.0000
0.0000 0.0000 10.5965
Ba Gd Ag Se S
2 2 2 4 2
Direct
0.2404 0.7596 0.7500 Ba
0.7596 0.2404 0.2500 Ba
0.5000 0.5000 0.0000 Gd
0.5000 0.5000 0.5000 Gd
0.0291 0.9709 0.2500 Ag
0.9709 0.0291 0.7500 Ag
0.1390 0.8610 0.0503 Se
0.1390 0.8610 0.4497 Se
0.8610 0.1390 0.5503 Se
0.8610 0.1390 0.9497 Se
0.4267 0.5733 0.2500 S
0.5733 0.4267 0.7500 S
```

## Properties
E = -0.1841 hartree per atom

(16)
A plane-wave DFT calculation with PBE-GGA was carried out for crystalline BaGdAgSeS2 at its relaxed geometry.

```
BaGdAgSeS2
1.0
2.0898 -7.0898 0.0000
2.0898 7.0898 0.0000
0.0000 0.0000 10.7169
Ba Gd Ag Se S
2 2 2 2 4
Direct
0.2398 0.7602 0.7500 Ba
0.7602 0.2398 0.2500 Ba
0.0000 0.0000 0.0000 Gd
0.0000 0.0000 0.5000 Gd
0.4714 0.5286 0.2500 Ag
0.5286 0.4714 0.7500 Ag
0.0866 0.9134 0.2500 Se
0.9134 0.0866 0.7500 Se
0.3708 0.6292 0.0561 S
0.3708 0.6292 0.4439 S
0.6292 0.3708 0.5561 S
0.6292 0.3708 0.9439 S
```

## Properties
E = -0.1878 hartree per atom

(17)
A plane-wave DFT calculation with PBE-GGA was carried out for crystalline BaGdAgTeS2 at its relaxed geometry.

```
BaGdAgTeS2
1.0
2.0959 -7.5118 0.0000
2.0959 7.5118 0.0000
0.0000 0.0000 11.1585
Ba Gd Ag Te S
2 2 2 2 4
Direct
0.2130 0.7870 0.7500 Ba
0.7870 0.2130 0.2500 Ba
0.0000 0.0000 0.0000 Gd
0.0000 0.0000 0.5000 Gd
0.4842 0.5158 0.2500 Ag
0.5158 0.4842 0.7500 Ag
0.1043 0.8957 0.2500 Te
0.8957 0.1043 0.7500 Te
0.3834 0.6166 0.0674 S
0.3834 0.6166 0.4326 S
0.6166 0.3834 0.5674 S
0.6166 0.3834 0.9326 S
```

## Properties
E = -0.1811 hartree per atom

(18)
A plane-wave DFT calculation with PBE-GGA was carried out for crystalline BaGdAgSe3 at its relaxed geometry.

```
BaGdAgSe3
1.0
8.2734 0.0000 0.0000
0.0000 4.2481 0.0000
-3.0394 0.0000 9.6783
Ba Gd Ag Se
2 2 2 6
Direct
0.2479 0.2500 0.2863 Ba
0.7521 0.7500 0.7137 Ba
0.3070 0.7500 0.8454 Gd
0.6930 0.2500 0.1546 Gd
0.0872 0.2500 0.5949 Ag
0.9128 0.7500 0.4051 Ag
0.0699 0.2500 0.8523 Se
0.2722 0.7500 0.5486 Se
0.4451 0.7500 0.1418 Se
0.5549 0.2500 0.8582 Se
0.7278 0.2500 0.4514 Se
0.9301 0.7500 0.1477 Se
```

## Properties
E = -0.1784 hartree per atom

(19)
A plane-wave DFT calculation with PBE-GGA was carried out for crystalline BaGdAgTe2Se at its relaxed geometry.

```
BaGdAgTe2Se
1.0
2.1943 -7.5818 0.0000
2.1943 7.5818 0.0000
0.0000 0.0000 11.0038
Ba Gd Ag Te Se
2 2 2 4 2
Direct
0.2380 0.7620 0.7500 Ba
0.7620 0.2380 0.2500 Ba
0.5000 0.5000 0.0000 Gd
0.5000 0.5000 0.5000 Gd
0.0285 0.9715 0.2500 Ag
0.9715 0.0285 0.7500 Ag
0.1425 0.8575 0.0512 Te
0.1425 0.8575 0.4488 Te
0.8575 0.1425 0.5512 Te
0.8575 0.1425 0.9488 Te
0.4262 0.5738 0.2500 Se
0.5738 0.4262 0.7500 Se
```

## Properties
E = -0.1675 hartree per atom

(20)
A plane-wave DFT calculation with PBE-GGA was carried out for crystalline BaGdAgTeSe2 at its relaxed geometry.

```
BaGdAgTeSe2
1.0
2.1379 -7.5375 0.0000
2.1379 7.5375 0.0000
0.0000 0.0000 11.1623
Ba Gd Ag Te Se
2 2 2 2 4
Direct
0.2260 0.7740 0.7500 Ba
0.7740 0.2260 0.2500 Ba
0.0000 0.0000 0.0000 Gd
0.0000 0.0000 0.5000 Gd
0.4757 0.5243 0.2500 Ag
0.5243 0.4757 0.7500 Ag
0.0940 0.9060 0.2500 Te
0.9060 0.0940 0.7500 Te
0.3721 0.6279 0.0578 Se
0.3721 0.6279 0.4422 Se
0.6279 0.3721 0.5578 Se
0.6279 0.3721 0.9422 Se
```

## Properties
E = -0.1721 hartree per atom

(21)
A plane-wave DFT calculation with PBE-GGA was carried out for crystalline BaAgGe2 at its relaxed geometry.

```
BaAgGe2
1.0
2.4232 -9.5825 0.0000
2.4232 9.5825 0.0000
0.0000 0.0000 4.4394
Ba Ag Ge
2 2 4
Direct
0.1055 0.8945 0.7500 Ba
0.8945 0.1055 0.2500 Ba
0.3247 0.6753 0.7500 Ag
0.6753 0.3247 0.2500 Ag
0.2470 0.7530 0.2500 Ge
0.4644 0.5356 0.7500 Ge
0.5356 0.4644 0.2500 Ge
0.7530 0.2470 0.7500 Ge
```

## Properties
Distance to the lowest polymorph of the same formula = 0.000 eV/atom

(22)
A plane-wave DFT calculation with PBE-GGA was carried out for crystalline BaAgGe2 at its relaxed geometry.

```
BaAgGe2
1.0
0.0000 3.7110 3.7110
3.7110 0.0000 3.7110
3.7110 3.7110 0.0000
Ba Ag Ge
1 1 2
Direct
0.0000 0.0000 0.0000 Ba
0.2500 0.2500 0.2500 Ag
0.5000 0.5000 0.5000 Ge
0.7500 0.7500 0.7500 Ge
```

## Properties
Distance to the lowest polymorph of the same formula = 0.375 eV/atom